No. 1
The following is a PBE calculation of a relaxed BaNa2SbN crystal, from Alexandria.

Cell: 5.6713 5.6713 6.8537 Å, 90.00 90.00 90.00°
Fractional positions:
Ba: 0.0000 0.0000 0.0000
Na: 0.0000 0.5000 0.5000
Na: 0.5000 0.0000 0.5000
Sb: 0.0000 0.0000 0.5000
N: 0.5000 0.5000 0.0000

Values from the calculation:
ΔE to the lowest computed polymorph (meV/atom): 0
SG: P4/mmm (123)
E (eV/atom): -2.8778
ΔE_f (raw) (eV per atom): 0.52


No. 2
The following is a PBE calculation of a relaxed Ca3IrO8 crystal, from Alexandria.

Cell: 6.5799 6.5799 6.5799 Å, 132.11 132.11 70.05°
Fractional positions:
Ca: 0.0000 0.0000 0.0000
Ca: 0.2500 0.7500 0.5000
Ca: 0.7500 0.2500 0.5000
Ir: 0.5000 0.5000 0.0000
O: 0.1691 0.1691 0.5610
O: 0.1691 0.6081 0.0000
O: 0.3919 0.3919 0.5610
O: 0.3919 0.8309 0.0000
O: 0.6081 0.1691 0.0000
O: 0.6081 0.6081 0.4390
O: 0.8309 0.3919 0.0000
O: 0.8309 0.8309 0.4390

Values from the calculation:
SG: I4/mmm (139)
E (eV/atom): -5.9154
ΔE_f (raw) (eV per atom): -1.37


No. 3
The following is a PBE calculation of a relaxed MnPt2Br crystal, from Alexandria.

Cell: 5.1676 5.1676 5.1676 Å, 134.58 134.58 66.18°
Fractional positions:
Mn: 0.0000 0.0000 0.0000
Pt: 0.2500 0.7500 0.5000
Pt: 0.7500 0.2500 0.5000
Br: 0.5000 0.5000 0.0000

Values from the calculation:
ΔE to the lowest computed polymorph (meV/atom): 270
SG: I4/mmm (139)
E (eV/atom): -5.4106
ΔE_f (raw) (eV per atom): 0.32


No. 4
The following is a PBE calculation of a relaxed Ba5Hg5Pd2 crystal, from Alexandria.

Cell: 9.4633 9.4633 13.4151 Å, 131.52 131.52 28.29°
Fractional positions:
Ba: 0.0000 0.0000 0.0000
Ba: 0.3035 0.3035 0.4163
Ba: 0.3834 0.3834 0.1891
Ba: 0.6166 0.6166 0.8109
Ba: 0.6965 0.6965 0.5837
Hg: 0.0000 0.0000 0.5000
Hg: 0.0673 0.0673 0.3166
Hg: 0.2893 0.2893 0.8510
Hg: 0.7107 0.7107 0.1490
Hg: 0.9327 0.9327 0.6834
Pd: 0.3801 0.3801 0.7421
Pd: 0.6199 0.6199 0.2579

Values from the calculation:
SG: C2/m (12)
E (eV/atom): -2.3241
Energy of formation (eV per atom): -0.532


No. 5
The following is a PBE calculation of a relaxed Nd3Ni4Ir2 crystal, from Alexandria.

Cell: 4.1698 4.1698 23.7437 Å, 90.00 90.00 120.00°
Fractional positions:
Nd: 0.0000 0.0000 0.0000
Nd: 0.0000 0.0000 0.1643
Nd: 0.0000 0.0000 0.3303
Nd: 0.0000 0.0000 0.4949
Nd: 0.0000 0.0000 0.6692
Nd: 0.0000 0.0000 0.8338
Ni: 0.3333 0.6667 0.0824
Ni: 0.3333 0.6667 0.2474
Ni: 0.3333 0.6667 0.4119
Ni: 0.3333 0.6667 0.7520
Ni: 0.3333 0.6667 0.9168
Ni: 0.6667 0.3333 0.0824
Ni: 0.6667 0.3333 0.4117
Ni: 0.6667 0.3333 0.7523
Ir: 0.3333 0.6667 0.5820
Ir: 0.6667 0.3333 0.2474
Ir: 0.6667 0.3333 0.5820
Ir: 0.6667 0.3333 0.9168

Values from the calculation:
SG: P3m1 (156)
E (eV/atom): -6.5117
Energy of formation (eV per atom): -0.384


No. 6
The following is a PBE calculation of a relaxed ReRu2Pb crystal, from Alexandria.

Cell: 4.7861 4.7861 4.7861 Å, 128.61 128.61 75.64°
Fractional positions:
Re: 0.0000 0.0000 0.0000
Ru: 0.2500 0.7500 0.5000
Ru: 0.7500 0.2500 0.5000
Pb: 0.5000 0.5000 0.0000

Values from the calculation:
SG: I4/mmm (139)
E (eV/atom): -8.0772
Energy of formation (eV per atom): 0.600


No. 7
The following is a PBE calculation of a relaxed ZrTeAs2Br crystal, from Alexandria.

Cell: 5.3254 5.3254 5.2186 Å, 90.00 90.00 90.00°
Fractional positions:
Zr: 0.0000 0.0000 0.0000
Te: 0.5000 0.5000 0.5000
As: 0.0000 0.5000 0.5000
As: 0.5000 0.0000 0.5000
Br: 0.5000 0.5000 0.0000

Values from the calculation:
ΔE to the lowest computed polymorph (meV/atom): 834
SG: P4/mmm (123)
E (eV/atom): -3.6551
ΔE_f (raw) (eV per atom): 0.88


No. 8
The following is a PBE calculation of a relaxed Dy2ErNpS4 crystal, from Alexandria.

Cell: 6.7504 3.8915 6.7506 Å, 90.00 109.34 90.00°
Fractional positions:
Dy: 0.0000 0.0000 0.0000
Dy: 0.5000 0.5000 0.0000
Er: 0.0000 0.5000 0.5000
Np: 0.5000 0.0000 0.5000
S: 0.2467 0.0000 0.7483
S: 0.2482 0.5000 0.2506
S: 0.7518 0.5000 0.7494
S: 0.7533 0.0000 0.2517

Values from the calculation:
SG: P2/m (10)
E (eV/atom): -7.2367
ΔE_f (raw) (eV per atom): -1.83


No. 9
The following is a PBE calculation of a relaxed PmZn4In crystal, from Alexandria.

Cell: 4.4280 4.4280 6.9873 Å, 90.00 90.00 120.00°
Fractional positions:
Pm: 0.0000 0.0000 0.0000
Zn: 0.3333 0.6667 0.2701
Zn: 0.3333 0.6667 0.7299
Zn: 0.6667 0.3333 0.2701
Zn: 0.6667 0.3333 0.7299
In: 0.0000 0.0000 0.5000

Values from the calculation:
ΔE to the lowest computed polymorph (meV/atom): 0
SG: P6/mmm (191)
E (eV/atom): -2.3658
Energy of formation (eV per atom): -0.268


No. 10
The following is a PBE calculation of a relaxed Ag2Hg2Sb crystal, from Alexandria.

Cell: 8.5449 8.5449 3.0823 Å, 90.00 90.00 90.00°
Fractional positions:
Ag: 0.1206 0.3794 0.0000
Ag: 0.3794 0.8794 0.0000
Ag: 0.6206 0.1206 0.0000
Ag: 0.8794 0.6206 0.0000
Hg: 0.1751 0.6751 0.5000
Hg: 0.3249 0.1751 0.5000
Hg: 0.6751 0.8249 0.5000
Hg: 0.8249 0.3249 0.5000
Sb: 0.0000 0.0000 0.5000
Sb: 0.5000 0.5000 0.5000

Values from the calculation:
ΔE to the lowest computed polymorph (meV/atom): 1
SG: P4/mbm (127)
E (eV/atom): -1.9321
ΔE_f (raw) (eV per atom): 0.15


No. 11
The following is a PBE calculation of a relaxed RbSnO3 crystal, from Alexandria.

Cell: 4.1537 4.1537 4.1537 Å, 90.00 90.00 90.00°
Fractional positions:
Rb: 0.0000 0.0000 0.0000
Sn: 0.5000 0.5000 0.5000
O: 0.0000 0.5000 0.5000
O: 0.5000 0.0000 0.5000
O: 0.5000 0.5000 0.0000

Values from the calculation:
SG: Pm-3m (221)
E (eV/atom): -5.1949
ΔE_f (raw) (eV per atom): -1.23


No. 12
The following is a PBE calculation of a relaxed La6HgOs2I3 crystal, from Alexandria.

Cell: 7.5211 7.5211 8.6390 Å, 98.34 98.34 119.98°
Fractional positions:
La: 0.0692 0.4358 0.8091
La: 0.1966 0.1966 0.1892
La: 0.4358 0.0692 0.8091
La: 0.5642 0.9308 0.1909
La: 0.8034 0.8034 0.8108
La: 0.9308 0.5642 0.1909
Hg: 0.5000 0.5000 0.0000
Os: 0.1670 0.8330 0.0000
Os: 0.8330 0.1670 0.0000
I: 0.0000 0.0000 0.5000
I: 0.3379 0.6621 0.5000
I: 0.6621 0.3379 0.5000

Values from the calculation:
SG: C2/m (12)
E (eV/atom): -5.5157
ΔE_f (raw) (eV per atom): -0.77